# 1
This record from Alexandria via LeMat-Bulk describes an optimized crystal structure of CoH3I. The functional is PBE.

Values from the calculation:
Distance to the lowest polymorph of the same formula: 0.0 meV per atom

abc: 3.6576 3.6576 3.6576
angles: 90.00 90.00 90.00
Last column: nearest neighbours and their distance in Å.
Element x y z (fractional)
Co  0.0000  0.0000  0.0000  6 H 1.83
H  0.0000  0.0000  0.5000  2 Co 1.83
H  0.0000  0.5000  0.0000  2 Co 1.83
H  0.5000  0.0000  0.0000  2 Co 1.83
I  0.5000  0.5000  0.5000  12 H 2.59


# 2
This record from Alexandria via LeMat-Bulk describes an optimized crystal structure of TaInBi2Au. The functional is PBE.

Values from the calculation:
Energy relative to the elements: 1.502 eV/atom

abc: 5.6157 5.6157 5.2831
angles: 90.00 90.00 90.00
Last column: nearest neighbours and their distance in Å.
Element x y z (fractional)
Ta  0.0000  0.0000  0.0000  2 In 2.64
In  0.0000  0.0000  0.5000  2 Ta 2.64, 4 Bi 2.81
Bi  0.0000  0.5000  0.5000  2 In 2.81
Bi  0.5000  0.0000  0.5000  2 In 2.81
Au  0.5000  0.5000  0.0000  8 Bi 3.86, 4 Ta 3.97


# 3
This record from Alexandria via LeMat-Bulk describes an optimized crystal structure of LiTcPt2. The functional is PBE.

Values from the calculation:
Energy relative to the elements: -0.183 eV/atom
Distance to the lowest polymorph of the same formula: 157.0 meV per atom

abc: 6.0451 6.0451 6.0451
angles: 154.12 138.69 49.39
Last column: nearest neighbours and their distance in Å.
Element x y z (fractional)
Li  0.0000  0.0000  0.0000  4 Pt 2.57, 2 Li 2.71
Tc  0.7446  0.2446  0.5000  6 Pt 2.58-2.66, 2 Tc 2.71
Pt  0.3203  0.8203  0.5000  4 Tc 2.66, 4 Pt 2.71-2.82, 2 Li 2.91
Pt  0.5451  0.5451  0.0000  4 Li 2.57, 2 Tc 2.58, 4 Pt 2.71-2.82


# 4
This record from Alexandria via LeMat-Bulk describes an optimized crystal structure of ThGeCl. The functional is PBE.

Values from the calculation:
Raw formation energy: -999 meV/atom

abc: 7.6420 4.4092 10.2307
angles: 90.00 96.51 90.00
Last column: nearest neighbours and their distance in Å.
Element x y z (fractional)
Th  0.1497  0.2500  0.1607  4 Ge 2.89-3.08, 3 Cl 3.00-3.10
Th  0.2832  0.2500  0.6554  4 Ge 2.78-3.08, 3 Cl 2.96-2.99
Th  0.7168  0.7500  0.3446  4 Ge 2.78-3.08, 3 Cl 2.96-2.99
Th  0.8503  0.7500  0.8393  4 Ge 2.89-3.08, 3 Cl 3.00-3.10
Ge  0.0112  0.7500  0.5765  2 Ge 2.70
Ge  0.0965  0.2500  0.8735  4 Th 2.78-2.92
Ge  0.9035  0.7500  0.1265  4 Th 2.78-2.92
Ge  0.9888  0.2500  0.4235  2 Ge 2.70
Cl  0.4091  0.7500  0.1356  3 Th 2.99-3.00, 2 Cl 3.31
Cl  0.4680  0.2500  0.3775  3 Th 2.96-3.10, 2 Cl 3.31
Cl  0.5320  0.7500  0.6225  3 Th 2.96-3.10, 2 Cl 3.31
Cl  0.5909  0.2500  0.8644  3 Th 2.99-3.00, 2 Cl 3.31


# 5
This record from Alexandria via LeMat-Bulk describes an optimized crystal structure of NpTi4S8. The functional is PBE.

Values from the calculation:
Raw formation energy: -1405 meV/atom
Distance to the lowest polymorph of the same formula: 0.0 meV per atom

abc: 7.4557 7.4557 7.4557
angles: 55.21 55.21 55.21
Last column: nearest neighbours and their distance in Å.
Element x y z (fractional)
Np  0.0000  0.0000  0.0000  6 S 2.65
Ti  0.0000  0.0000  0.5000  6 S 2.43-2.49
Ti  0.0000  0.5000  0.0000  6 S 2.43-2.49
Ti  0.5000  0.0000  0.0000  6 S 2.43-2.49
Ti  0.5000  0.5000  0.5000  6 S 2.43
S  0.2401  0.2401  0.2401  3 Ti 2.43
S  0.2521  0.7395  0.7395  3 Ti 2.43-2.49, 1 Np 2.65
S  0.2605  0.2605  0.7479  3 Ti 2.43-2.49, 1 Np 2.65
S  0.2605  0.7479  0.2605  3 Ti 2.43-2.49, 1 Np 2.65
S  0.7395  0.2521  0.7395  3 Ti 2.43-2.49, 1 Np 2.65
S  0.7395  0.7395  0.2521  3 Ti 2.43-2.49, 1 Np 2.65
S  0.7479  0.2605  0.2605  3 Ti 2.43-2.49, 1 Np 2.65
S  0.7599  0.7599  0.7599  3 Ti 2.43


# 6
This record from Alexandria via LeMat-Bulk describes an optimized crystal structure of KCoCl. The functional is PBE.

Values from the calculation:
Raw formation energy: 162 meV/atom
Distance to the lowest polymorph of the same formula: 188.3 meV per atom

abc: 6.2703 6.2703 6.2703
angles: 148.24 148.24 45.53
Last column: nearest neighbours and their distance in Å.
Element x y z (fractional)
K  0.0000  0.0000  0.0000  5 Cl 3.26-3.50, 5 Co 3.28-3.49, 4 K 3.43
Co  0.7168  0.7168  0.0000  4 Cl 2.54
Cl  0.2819  0.2819  0.0000  4 Co 2.54


# 7
This record from Alexandria via LeMat-Bulk describes an optimized crystal structure of TaBe4Ni15. The functional is PBE.

Values from the calculation:
Energy relative to the elements: -0.206 eV/atom

abc: 3.5279 3.5279 16.9923
angles: 90.00 90.00 90.00
Last column: nearest neighbours and their distance in Å.
Element x y z (fractional)
Ta  0.0000  0.0000  0.0000  12 Ni 2.49-2.58
Be  0.0000  0.0000  0.2113  12 Ni 2.39-2.49
Be  0.0000  0.0000  0.4024  12 Ni 2.41-2.49
Be  0.0000  0.0000  0.5976  12 Ni 2.41-2.49
Be  0.0000  0.0000  0.7887  12 Ni 2.39-2.49
Ni  0.0000  0.5000  0.1112  8 Ni 2.42-2.58, 2 Be 2.45, 2 Ta 2.58
Ni  0.0000  0.5000  0.3062  4 Be 2.39-2.41, 8 Ni 2.42-2.49
Ni  0.0000  0.5000  0.5000  8 Ni 2.41-2.49, 4 Be 2.42
Ni  0.0000  0.5000  0.6938  4 Be 2.39-2.41, 8 Ni 2.42-2.49
Ni  0.0000  0.5000  0.8888  8 Ni 2.42-2.58, 2 Be 2.45, 2 Ta 2.58
Ni  0.5000  0.0000  0.1112  8 Ni 2.42-2.58, 2 Be 2.45, 2 Ta 2.58
Ni  0.5000  0.0000  0.3062  4 Be 2.39-2.41, 8 Ni 2.42-2.49
Ni  0.5000  0.0000  0.5000  8 Ni 2.41-2.49, 4 Be 2.42
Ni  0.5000  0.0000  0.6938  4 Be 2.39-2.41, 8 Ni 2.42-2.49
Ni  0.5000  0.0000  0.8888  8 Ni 2.42-2.58, 2 Be 2.45, 2 Ta 2.58
Ni  0.5000  0.5000  0.0000  4 Ta 2.49, 8 Ni 2.58
Ni  0.5000  0.5000  0.2089  8 Ni 2.42, 4 Be 2.49
Ni  0.5000  0.5000  0.4037  8 Ni 2.41-2.42, 4 Be 2.49
Ni  0.5000  0.5000  0.5963  8 Ni 2.41-2.42, 4 Be 2.49
Ni  0.5000  0.5000  0.7911  8 Ni 2.42, 4 Be 2.49


# 8
This record from Alexandria via LeMat-Bulk describes an optimized crystal structure of CsMoSe2. The functional is PBE.

Values from the calculation:
Raw formation energy: 434 meV/atom
Distance to the lowest polymorph of the same formula: 883.9 meV per atom

abc: 5.2549 5.2549 5.2549
angles: 60.00 60.00 60.00
Last column: nearest neighbours and their distance in Å.
Element x y z (fractional)
Cs  0.0000  0.0000  0.0000  8 Se 3.22
Mo  0.5000  0.5000  0.5000  8 Se 3.22
Se  0.2500  0.2500  0.2500  4 Mo 3.22, 4 Cs 3.22
Se  0.7500  0.7500  0.7500  4 Mo 3.22, 4 Cs 3.22


# 9
This record from Alexandria via LeMat-Bulk describes an optimized crystal structure of SrPrSmDy. The functional is PBE.

Values from the calculation:
Energy relative to the elements: 0.219 eV/atom

abc: 5.9569 5.9569 5.9569
angles: 60.00 60.00 60.00
Last column: nearest neighbours and their distance in Å.
Element x y z (fractional)
Sr  0.0000  0.0000  0.0000  4 Pr 3.65, 4 Sm 3.65
Pr  0.2500  0.2500  0.2500  4 Dy 3.65, 4 Sr 3.65
Sm  0.7500  0.7500  0.7500  4 Dy 3.65, 4 Sr 3.65
Dy  0.5000  0.5000  0.5000  4 Sm 3.65, 4 Pr 3.65


# 10
This record from Alexandria via LeMat-Bulk describes an optimized crystal structure of Mg2TlPb. The functional is PBE.

Values from the calculation:
Energy relative to the elements: -0.003 eV/atom
Distance to the lowest polymorph of the same formula: 48.3 meV per atom

abc: 3.5869 3.5869 8.2700
angles: 90.00 90.00 90.00
Last column: nearest neighbours and their distance in Å.
Element x y z (fractional)
Mg  0.0000  0.0000  0.0000  4 Mg 3.13, 4 Tl 3.21
Mg  0.5000  0.5000  0.2222  4 Mg 3.13, 4 Pb 3.22
Tl  0.5000  0.5000  0.7615  4 Mg 3.21, 4 Pb 3.54, 4 Tl 3.59
Pb  0.0000  0.0000  0.4625  4 Mg 3.22, 4 Tl 3.54, 4 Pb 3.59


# 11
This record from Alexandria via LeMat-Bulk describes an optimized crystal structure of Pu2Ga4SnAu3. The functional is PBE.

Values from the calculation:
Energy relative to the elements: -0.356 eV/atom

abc: 4.3516 4.3516 11.2149
angles: 90.00 90.00 90.00
Last column: nearest neighbours and their distance in Å.
Element x y z (fractional)
Pu  0.0000  0.5000  0.2435  8 Ga 3.30-3.49, 6 Au 3.33-3.61, 2 Sn 3.61
Pu  0.5000  0.0000  0.7565  8 Ga 3.30-3.49, 6 Au 3.33-3.61, 2 Sn 3.61
Ga  0.0000  0.0000  0.0000  4 Au 2.61
Ga  0.0000  0.5000  0.6496  3 Au 2.48-2.75, 2 Sn 2.75
Ga  0.5000  0.0000  0.3504  3 Au 2.48-2.75, 2 Sn 2.75
Ga  0.5000  0.5000  0.0000  4 Au 2.61
Sn  0.0000  0.0000  0.5000  4 Ga 2.75
Au  0.0000  0.5000  0.8709  5 Ga 2.48-2.61
Au  0.5000  0.0000  0.1291  5 Ga 2.48-2.61
Au  0.5000  0.5000  0.5000  4 Ga 2.75


# 12
This record from Alexandria via LeMat-Bulk describes an optimized crystal structure of K3DyTl2O6. The functional is PBE.

Values from the calculation:
Raw formation energy: -1595 meV/atom

abc: 6.0338 6.0338 6.5765
angles: 98.76 98.76 120.02
Last column: nearest neighbours and their distance in Å.
Element x y z (fractional)
K  0.0000  0.0000  0.0000  6 O 2.76-2.79
K  0.3294  0.6706  0.0000  6 O 2.76-2.78
K  0.6706  0.3294  0.0000  6 O 2.76-2.78
Dy  0.5000  0.5000  0.5000  6 O 2.33
Tl  0.1663  0.8337  0.5000  6 O 2.37
Tl  0.8337  0.1663  0.5000  6 O 2.37
O  0.1071  0.4349  0.3045  1 Dy 2.33, 2 Tl 2.37
O  0.2376  0.2376  0.6965  1 Dy 2.33, 2 Tl 2.37
O  0.4349  0.1071  0.3045  1 Dy 2.33, 2 Tl 2.37
O  0.5651  0.8929  0.6955  1 Dy 2.33, 2 Tl 2.37
O  0.7624  0.7624  0.3035  1 Dy 2.33, 2 Tl 2.37
O  0.8929  0.5651  0.6955  1 Dy 2.33, 2 Tl 2.37


# 13
This record from Alexandria via LeMat-Bulk describes an optimized crystal structure of Nd5DyY5. The functional is PBE.

Values from the calculation:
Energy relative to the elements: 0.260 eV/atom

abc: 9.8689 9.8689 7.0037
angles: 108.01 108.01 35.97
Last column: nearest neighbours and their distance in Å.
Element x y z (fractional)
Nd  0.0000  0.0000  0.0000  2 Dy 3.50, 4 Y 3.57-3.62, 4 Nd 3.78
Nd  0.3282  0.3282  0.3122  5 Y 3.06-3.43
Nd  0.3742  0.3742  0.8568  4 Nd 3.57-3.78, 6 Y 3.57-3.96
Nd  0.6258  0.6258  0.1432  4 Nd 3.57-3.78, 6 Y 3.57-3.96
Nd  0.6718  0.6718  0.6878  5 Y 3.06-3.43
Dy  0.0000  0.0000  0.5000  2 Y 3.05
Y  0.1741  0.1741  0.4215  5 Nd 3.22-3.58, 2 Y 3.44-3.56, 1 Dy 3.49
Y  0.1777  0.1777  0.9163  4 Nd 3.25-3.57, 2 Y 3.44-3.56
Y  0.5000  0.5000  0.5000  2 Dy 3.05, 2 Nd 3.06
Y  0.8223  0.8223  0.0837  4 Nd 3.25-3.57, 2 Y 3.44-3.56
Y  0.8259  0.8259  0.5785  5 Nd 3.22-3.58, 2 Y 3.44-3.56, 1 Dy 3.49


# 14
This record from Alexandria via LeMat-Bulk describes an optimized crystal structure of BaNaPa2O7. The functional is PBE.

Values from the calculation:
Raw formation energy: -2990 meV/atom

abc: 11.0655 11.0655 11.0655
angles: 157.15 157.15 32.53
Last column: nearest neighbours and their distance in Å.
Element x y z (fractional)
Ba  0.0000  0.0000  0.0000  12 O 2.90-3.10
Na  0.7500  0.2500  0.5000  4 O 2.45
Pa  0.3943  0.3943  0.0000  3 O 1.98-2.21
Pa  0.6057  0.6057  0.0000  3 O 1.98-2.21
O  0.0893  0.5893  0.5000  2 Pa 2.22
O  0.3012  0.3012  0.0000  1 Pa 1.98
O  0.4107  0.9107  0.5000  2 Pa 2.22
O  0.5000  0.5000  0.0000  2 Pa 2.25
O  0.5934  0.0934  0.5000  2 Pa 2.21
O  0.6988  0.6988  0.0000  1 Pa 1.98
O  0.9066  0.4066  0.5000  2 Pa 2.21


# 15
This record from Alexandria via LeMat-Bulk describes an optimized crystal structure of LaPmHgSb. The functional is PBE.

Values from the calculation:
Raw formation energy: -707 meV/atom

abc: 5.4763 5.4763 5.4763
angles: 60.00 60.00 60.00
Last column: nearest neighbours and their distance in Å.
Element x y z (fractional)
La  0.0000  0.0000  0.0000  4 Hg 3.35, 4 Sb 3.35
Pm  0.5000  0.5000  0.5000  4 Hg 3.35, 4 Sb 3.35
Hg  0.7500  0.7500  0.7500  4 Pm 3.35, 4 La 3.35
Sb  0.2500  0.2500  0.2500  4 La 3.35, 4 Pm 3.35